# 1
Material: LaPmEr2
Method: DFT, PBE-GGA
State: optimized geometry

Cell lengths 3.6222, 3.6222, 11.8241 Å; angles 81.19, 81.19, 60.00 degrees
Closest atoms and distances in Å follow each position.
Sites, in units of the cell vectors:
La1 0.6664 0.6664 0.0007  6 Er 3.60, 6 La 3.62
Pm1 0.5005 0.5005 0.4985  6 Er 3.55-3.59, 6 Pm 3.62
Er1 0.0837 0.0837 0.7488  3 Pm 3.59, 3 La 3.60, 6 Er 3.62
Er2 0.2493 0.2493 0.2520  3 Pm 3.55, 3 La 3.60, 6 Er 3.62

Its total energy is -4.680 eV per atom. The value obtained for the size of the total moment is 0.0 μB/f.u. The value obtained for the energy above the most stable polymorph in this dataset is 0.005 eV per atom. Its space group is R3m (160). The calculation puts the energy relative to the elements at 0.0206 eV per atom.


# 2
Material: Pu2CdPd6
Method: DFT, PBE-GGA
State: optimized geometry

Cell lengths 6.0877, 5.7602, 5.7602 Å; angles 59.99, 89.99, 89.99 degrees
Closest atoms and distances in Å follow each position.
Sites, in units of the cell vectors:
Pu1 0.8111 0.6666 0.6666  9 Pd 3.00-3.35
Pu2 0.1889 0.3334 0.3334  9 Pd 3.00-3.35
Pd1 0.3254 0.8237 0.3523  1 Cd 2.65, 4 Pd 2.71-2.76
Pd2 0.6746 0.6477 0.1763  1 Cd 2.65, 4 Pd 2.71-2.76
Pd3 0.6746 0.1763 0.6477  1 Cd 2.65, 4 Pd 2.71-2.76
Pd4 0.3260 0.8235 0.8235  1 Cd 2.65, 4 Pd 2.71-2.76
Pd5 0.3254 0.3523 0.8237  1 Cd 2.65, 4 Pd 2.71-2.76
Pd6 0.6740 0.1765 0.1765  1 Cd 2.65, 4 Pd 2.71-2.76
Cd1 0.0000 0.0000 0.0000  6 Pd 2.65

Its total energy is -7.142 eV per atom. The value obtained for the size of the total moment is 10.4 μB/f.u. Its space group is P-3m1 (164). The calculation puts the energy relative to the elements at -0.3940 eV per atom.


# 3
Material: TlCo2Si
Method: DFT, PBE-GGA
State: optimized geometry

Cell lengths 3.6896, 3.6896, 6.6165 Å; angles 79.12, 79.12, 45.79 degrees
Closest atoms and distances in Å follow each position.
Sites, in units of the cell vectors:
Co1 0.7021 0.7021 0.5851  3 Si 2.27
Co2 0.0483 0.0483 0.9151  3 Si 2.27
Tl1 0.3744 0.3744 0.2499  4 Co 2.70, 2 Tl 2.87
Si1 0.3752 0.3752 0.7500  6 Co 2.27

Its total energy is -5.375 eV per atom. The value obtained for the size of the total moment is 0.0 μB/f.u. The value obtained for the energy above the most stable polymorph in this dataset is 0.092 eV per atom. Its space group is Cm (8). As for the uncorrected formation energy: 0.125 eV per atom.


# 4
Material: Sm6TeP2Se3
Method: DFT, PBE-GGA
State: optimized geometry

Cell lengths 4.1746, 8.4710, 9.3965 Å; angles 102.71, 102.83, 90.00 degrees
Closest atoms and distances in Å follow each position.
Sites, in units of the cell vectors:
Sm1 0.0113 0.2735 0.0225  1 P 2.81, 3 Se 2.87-3.09, 2 Te 3.09
Sm2 0.6724 0.5733 0.3448  3 P 2.84-2.88, 3 Se 3.08-3.09
Sm3 0.9887 0.7265 0.9775  1 P 2.81, 3 Se 2.87-3.09, 2 Te 3.09
Sm4 0.3276 0.4267 0.6552  3 P 2.84-2.88, 3 Se 3.08-3.09
Sm5 0.3246 0.8882 0.6492  2 P 2.85, 3 Se 2.93-3.10, 1 Te 3.14
Sm6 0.6754 0.1118 0.3508  2 P 2.85, 3 Se 2.93-3.10, 1 Te 3.14
Se1 0.1613 0.8359 0.3225  6 Sm 2.93-3.10
Se2 0.8387 0.1641 0.6775  6 Sm 2.93-3.10
Se3 0.5000 0.5000 0.0000  6 Sm 2.87-3.08
Te1 0.5000 0.0000 0.0000  6 Sm 3.09-3.14
P1 0.1686 0.3368 0.3372  6 Sm 2.81-2.88
P2 0.8314 0.6632 0.6627  6 Sm 2.81-2.88

Its total energy is -6.117 eV per atom. The value obtained for the size of the total moment is 0.0 μB/f.u. Its space group is C2/m (12). As for the uncorrected formation energy: -1.723 eV per atom.


# 5
Material: La2SnH
Method: DFT, PBE-GGA
State: optimized geometry

Cell lengths 4.4769, 4.4769, 6.7902 Å; angles 70.75, 70.75, 60.00 degrees
Closest atoms and distances in Å follow each position.
Sites, in units of the cell vectors:
Sn1 0.5000 0.5000 0.5000  6 La 3.15
H1 0.0000 0.0000 0.0000  6 La 2.91
La1 0.2625 0.2625 0.2125  3 H 2.91, 3 Sn 3.15
La2 0.7375 0.7375 0.7875  3 H 2.91, 3 Sn 3.15

Its total energy is -4.731 eV per atom. The value obtained for the size of the total moment is 0.0 μB/f.u. The value obtained for the energy above the most stable polymorph in this dataset is 0.194 eV per atom. Its space group is R-3m (166).


# 6
Material: BeRu2Pb
Method: DFT, PBE-GGA
State: optimized geometry

Cell lengths 4.2007, 2.9812, 5.3094 Å; angles 73.81, 90.00, 90.00 degrees
Closest atoms and distances in Å follow each position.
Sites, in units of the cell vectors:
Be1 0.0000 0.3468 0.4324  4 Ru 2.27-2.36
Ru1 0.0000 0.0240 0.0739  2 Be 2.36
Ru2 0.5000 0.4306 0.2629  2 Be 2.27
Pb1 0.5000 0.6986 0.7308  3 Ru 2.71-2.81, 2 Pb 2.98, 4 Be 2.99

Its total energy is -6.085 eV per atom. The value obtained for the size of the total moment is 0.0 μB/f.u. The value obtained for the energy above the most stable polymorph in this dataset is 0.121 eV per atom. Its space group is Pm (6). The calculation puts the energy relative to the elements at 0.4120 eV per atom.


# 7
Material: MnAlAs2
Method: DFT, PBE-GGA
State: optimized geometry

Cell lengths 5.4488, 4.5577, 3.8434 Å; angles 76.84, 71.07, 117.45 degrees
Closest atoms and distances in Å follow each position.
Sites, in units of the cell vectors:
Mn1 0.0000 0.5000 0.5000  4 As 2.63, 2 Al 2.78
As1 0.0000 0.0000 0.0000  2 Mn 2.63, 2 Al 2.63, 2 As 2.78
As2 0.5000 0.0000 0.5000  2 Al 2.63, 2 Mn 2.63, 2 As 2.78
Al1 0.5000 0.5000 0.0000  4 As 2.63, 2 Mn 2.78

Its total energy is -5.466 eV per atom. The value obtained for the size of the total moment is 3.6 μB/f.u. Its space group is C2/m (12). The calculation puts the energy relative to the elements at 0.0867 eV per atom.


# 8
Material: SiC3
Method: DFT, PBE-GGA
State: optimized geometry

Cell lengths 3.8440, 3.8440, 5.1363 Å; angles 90.00, 90.00, 142.68 degrees
Closest atoms and distances in Å follow each position.
Sites, in units of the cell vectors:
C1 0.5000 0.5000 0.7500  4 C 1.60
C2 0.0000 0.0000 0.9506  2 C 1.60
C3 0.0000 0.0000 0.5494  2 C 1.60
Si1 0.5000 0.5000 0.2500  4 C 1.97

Its total energy is -6.281 eV per atom. The value obtained for the size of the total moment is 0.0 μB/f.u. The value obtained for the energy above the most stable polymorph in this dataset is 1.493 eV per atom. Its space group is Cmmm (65). As for the uncorrected formation energy: 1.992 eV per atom.